DFT (PBE) results for a relaxed Li3PO crystal.

Energy in Ry/atom: -0.2419
Distance to the lowest polymorph of the same formula in meV/atom: 867.5
ρ in g/cm3: 1.1
ΔE_f (raw) in eV/atom: -0.069
Fermi-level density of states in states/eV per atom: 0.3615

Cell: 4.6228 4.6228 4.6228 Å, 90.00 90.00 90.00°
Sites, in units of the cell vectors:
Li 0.0000 0.5000 0.0000
O 0.5000 0.5000 0.5000
Li 0.5000 0.0000 0.0000
P 0.0000 0.0000 0.0000
Li 0.0000 0.0000 0.5000